The following is a GGA-PBE calculation of a geometry-optimized TmTe4Pb2 structure, from Alexandria via LeMat-Bulk.

Cell and atoms, written as POSCAR:
```
TmTe4Pb2
1.0
4.346 0.000 0.000
-2.173 7.603 0.000
0.000 0.000 14.714
Te Tm Pb
8 2 4
direct
0.500 0.000 0.500 Te
0.212 0.424 0.636 Te
0.212 0.424 0.864 Te
0.788 0.576 0.136 Te
0.971 0.943 0.750 Te
0.788 0.576 0.364 Te
0.029 0.057 0.250 Te
0.500 0.000 0.000 Te
0.388 0.776 0.250 Tm
0.612 0.224 0.750 Tm
0.866 0.733 0.567 Pb
0.134 0.267 0.433 Pb
0.134 0.267 0.067 Pb
0.866 0.733 0.933 Pb
```

- Calculated density: 7.47 Mg/m³
- Formation energy without anion corrections: -581 meV/atom
- M_tot: 0.000 μB/atom